(1)
This record from Alexandria via LeMat-Bulk describes a relaxed structure of Pm2NdGa. The functional is PBE.

abc: 3.608 3.608 9.167
angles: 90.00 90.00 90.00
Atoms (fractional coordinates):
Pm  0.000  0.000  0.208
Pm  0.000  0.000  0.792
Nd  0.500  0.500  0.500
Ga  0.500  0.500  0.000

## Properties
Mass density: 7.0 g/cm3
E_form: -0.26 eV/atom
Symmetry: P4/mmm
Energy above the lowest structure with this stoichiometry: 0.00 kJ/mol of atoms

(2)
This record from Alexandria via LeMat-Bulk describes a relaxed structure of Rb12Se5S2. The functional is PBE.

abc: 10.367 10.367 11.618
angles: 106.32 106.32 45.79
Atoms (fractional coordinates):
Rb  0.010  0.010  0.205
Rb  0.067  0.574  0.895
Rb  0.090  0.600  0.442
Rb  0.400  0.910  0.558
Rb  0.426  0.933  0.105
Rb  0.429  0.429  0.206
Rb  0.571  0.571  0.794
Rb  0.574  0.067  0.895
Rb  0.600  0.090  0.442
Rb  0.910  0.400  0.558
Rb  0.933  0.426  0.105
Rb  0.990  0.990  0.795
Se  0.170  0.170  0.841
Se  0.193  0.193  0.344
Se  0.500  0.500  0.500
Se  0.807  0.807  0.656
Se  0.830  0.830  0.159
S  0.367  0.633  0.000
S  0.633  0.367  0.000

## Properties
Mass density: 2.9 g/cm3
Symmetry: C2/m
Formation energy (no corrections): -22.26 kcal/mol of atoms